Here is an optimized crystal structure of CsTl2SnSe4 from Alexandria via LeMat-Bulk. Energies are from PBE-GGA.

Lattice parameters (Å, degrees): 8.9089 8.9089 8.5605 118.75 118.75 90.57
With the nearest neighbours (Å) after each atom.
Fractional coordinates of all 16 atoms:
1 Cs 0.0000 0.5000 0.0000  6 Se 3.41-3.42
2 Cs 0.0000 0.5000 0.5000  6 Se 3.41-3.42
3 Tl 0.5000 0.0000 0.0000  6 Se 2.87-2.94
4 Tl 0.5000 0.0000 0.5000  6 Se 2.87-2.94
5 Tl 0.0000 0.0000 0.5000  6 Se 3.26-3.33
6 Tl 0.5000 0.5000 0.0000  6 Se 3.26-3.33
7 Sn 0.5000 0.5000 0.5000  6 Se 3.02-3.04
8 Sn 0.0000 0.0000 0.0000  6 Se 3.02-3.04
9 Se 0.2794 0.8026 0.0413  2 Tl 2.87-2.88, 1 Sn 3.04
10 Se 0.6974 0.2206 0.4587  2 Tl 2.87-2.88, 1 Sn 3.04
11 Se 0.3026 0.7794 0.5413  2 Tl 2.87-2.88, 1 Sn 3.04
12 Se 0.7206 0.1974 0.9587  2 Tl 2.87-2.88, 1 Sn 3.04
13 Se 0.7315 0.7687 0.9791  3 Tl 2.94-3.27, 2 Sn 3.02
14 Se 0.7313 0.7685 0.5209  3 Tl 2.94-3.27, 2 Sn 3.02
15 Se 0.2687 0.2315 0.4791  3 Tl 2.94-3.27, 2 Sn 3.02
16 Se 0.2685 0.2313 0.0209  3 Tl 2.94-3.27, 2 Sn 3.02

- Energy relative to the elements, uncorrected: -416 meV per atom
- DOS at the Fermi energy: 0.429 states/eV/atom


Here is an optimized crystal structure of Cs2Tm2SnSe6 from Alexandria via LeMat-Bulk. Energies are from PBE-GGA.

Lattice parameters (Å, degrees): 7.0913 7.0913 8.9762 97.87 97.87 119.97
With the nearest neighbours (Å) after each atom.
Fractional coordinates of all 11 atoms:
1 Cs 0.8307 0.1693 0.0000  6 Se 3.63-3.65, 2 Cs 4.06
2 Cs 0.1693 0.8307 0.0000  6 Se 3.63-3.65, 2 Cs 4.06
3 Tm 0.3318 0.6682 0.5000  6 Se 2.85-2.87
4 Tm 0.6682 0.3318 0.5000  6 Se 2.85-2.87
5 Sn 0.0000 0.0000 0.5000  6 Se 2.75-2.78
6 Se 0.7397 0.7397 0.6781  1 Sn 2.75, 2 Tm 2.87
7 Se 0.0649 0.3875 0.6810  1 Sn 2.78, 2 Tm 2.85-2.86
8 Se 0.2603 0.2603 0.3219  1 Sn 2.75, 2 Tm 2.87
9 Se 0.3875 0.0649 0.6810  1 Sn 2.78, 2 Tm 2.85-2.86
10 Se 0.9351 0.6125 0.3190  1 Sn 2.78, 2 Tm 2.85-2.86
11 Se 0.6125 0.9351 0.3190  1 Sn 2.78, 2 Tm 2.85-2.86

- Energy relative to the elements, uncorrected: -1342 meV per atom


Here is an optimized crystal structure of Cs3Tm2SnSe6 from Alexandria via LeMat-Bulk. Energies are from PBE-GGA.

Lattice parameters (Å, degrees): 7.3684 7.3684 8.6906 98.11 98.11 120.01
With the nearest neighbours (Å) after each atom.
Fractional coordinates of all 12 atoms:
1 Cs 0.1649 0.8351 0.5000  6 Se 3.59-3.62
2 Cs 0.8351 0.1649 0.5000  6 Se 3.59-3.62
3 Cs 0.5000 0.5000 0.5000  6 Se 3.58-3.62
4 Tm 0.3331 0.6669 0.0000  6 Se 2.88
5 Tm 0.6669 0.3331 0.0000  6 Se 2.88
6 Sn 0.0000 0.0000 0.0000  6 Se 2.92-2.93
7 Se 0.9388 0.6001 0.8164  2 Tm 2.88, 1 Sn 2.93
8 Se 0.7223 0.7223 0.1829  2 Tm 2.88, 1 Sn 2.92
9 Se 0.0612 0.3999 0.1836  2 Tm 2.88, 1 Sn 2.93
10 Se 0.6001 0.9388 0.8164  2 Tm 2.88, 1 Sn 2.93
11 Se 0.2777 0.2777 0.8171  2 Tm 2.88, 1 Sn 2.92
12 Se 0.3999 0.0612 0.1836  2 Tm 2.88, 1 Sn 2.93

- Energy relative to the elements, uncorrected: -1361 meV per atom
- DOS at the Fermi energy: 0.377 states/eV/atom


Here is an optimized crystal structure of Cs2TmSnSe5 from Alexandria via LeMat-Bulk. Energies are from PBE-GGA.

Lattice parameters (Å, degrees): 4.1377 10.9354 15.6292 90.00 90.00 100.91
With the nearest neighbours (Å) after each atom.
Fractional coordinates of all 18 atoms:
1 Cs 0.8613 0.7227 0.8215  7 Se 3.67-4.00
2 Cs 0.1328 0.2656 0.6901  7 Se 3.62-3.93
3 Cs 0.1387 0.2773 0.3215  7 Se 3.67-4.00
4 Cs 0.8672 0.7344 0.1901  7 Se 3.62-3.93
5 Tm 0.8008 0.6017 0.5269  5 Se 2.70-2.97
6 Tm 0.1992 0.3983 0.0269  5 Se 2.70-2.97
7 Sn 0.5646 0.1291 0.9222  4 Se 2.47-2.66
8 Sn 0.4354 0.8709 0.4222  4 Se 2.47-2.66
9 Se 0.3243 0.6486 0.0096  1 Tm 2.70
10 Se 0.6822 0.3645 0.8928  1 Sn 2.57
11 Se 0.5024 0.0049 0.7890  1 Sn 2.47
12 Se 0.3057 0.6113 0.6432  2 Tm 2.76
13 Se 0.9458 0.8915 0.5286  2 Sn 2.66
14 Se 0.6757 0.3514 0.5096  1 Tm 2.70
15 Se 0.3178 0.6355 0.3928  1 Sn 2.57
16 Se 0.4976 0.9951 0.2890  1 Sn 2.47
17 Se 0.6943 0.3887 0.1432  2 Tm 2.76
18 Se 0.0542 0.1085 0.0286  2 Sn 2.66

- Energy relative to the elements, uncorrected: -1019 meV per atom
- DOS at the Fermi energy: 0.538 states/eV/atom


Here is an optimized crystal structure of CsTmSnSe4 from Alexandria via LeMat-Bulk. Energies are from PBE-GGA.

Lattice parameters (Å, degrees): 6.9624 7.3192 9.9876 90.00 108.95 90.00
With the nearest neighbours (Å) after each atom.
Fractional coordinates of all 14 atoms:
1 Cs 0.7521 0.7500 0.9480  2 Se 3.44-3.64
2 Cs 0.2479 0.2500 0.0520  2 Se 3.44-3.64
3 Tm 0.7886 0.7500 0.4528  6 Se 2.83-2.96
4 Tm 0.2114 0.2500 0.5472  6 Se 2.83-2.96
5 Sn 0.2374 0.7500 0.3462  4 Se 2.51-2.58
6 Sn 0.7626 0.2500 0.6538  4 Se 2.51-2.58
7 Se 0.0227 0.5113 0.6888  1 Sn 2.58
8 Se 0.9773 0.0113 0.3112  1 Sn 2.58
9 Se 0.9773 0.4887 0.3112  1 Sn 2.58
10 Se 0.0227 0.9887 0.6888  1 Sn 2.58
11 Se 0.4505 0.7500 0.1853  1 Sn 2.52
12 Se 0.5495 0.2500 0.8147  1 Sn 2.52
13 Se 0.4922 0.7500 0.5904  1 Sn 2.51
14 Se 0.5078 0.2500 0.4096  1 Sn 2.51

- Energy relative to the elements, uncorrected: -1115 meV per atom


Here is an optimized crystal structure of Cs3Tm3SnSe8 from Alexandria via LeMat-Bulk. Energies are from PBE-GGA.

Lattice parameters (Å, degrees): 8.2678 8.2686 9.8103 114.95 90.00 120.00
With the nearest neighbours (Å) after each atom.
Fractional coordinates of all 15 atoms:
1 Cs 0.0000 0.0000 0.0000  6 Se 3.62
2 Cs 0.0000 0.5000 0.0000  6 Se 3.62
3 Cs 0.5000 0.5000 0.0000  6 Se 3.62
4 Tm 0.5000 0.0000 0.5000  6 Se 2.85-2.87
5 Tm 0.5000 0.5000 0.5000  6 Se 2.85-2.87
6 Tm 0.0000 0.5000 0.5000  6 Se 2.85-2.87
7 Sn 0.0000 0.0000 0.5000  6 Se 2.80
8 Se 0.2727 0.5454 0.3182  3 Tm 2.85
9 Se 0.7273 0.4546 0.6818  3 Tm 2.85
10 Se 0.7771 0.5542 0.3199  1 Sn 2.80, 2 Tm 2.87
11 Se 0.2229 0.4458 0.6801  1 Sn 2.80, 2 Tm 2.87
12 Se 0.7771 0.0427 0.3200  1 Sn 2.80, 2 Tm 2.87
13 Se 0.2229 0.9573 0.6800  1 Sn 2.80, 2 Tm 2.87
14 Se 0.2656 0.0427 0.3200  1 Sn 2.80, 2 Tm 2.87
15 Se 0.7344 0.9573 0.6800  1 Sn 2.80, 2 Tm 2.87

- Energy relative to the elements, uncorrected: -1438 meV per atom
- DOS at the Fermi energy: 0.113 states/eV/atom


Here is an optimized crystal structure of CsUSn2Se5 from Alexandria via LeMat-Bulk. Energies are from PBE-GGA.

Lattice parameters (Å, degrees): 5.4129 7.7852 8.5757 116.99 108.40 90.00
With the nearest neighbours (Å) after each atom.
Fractional coordinates of all 9 atoms:
1 Cs 0.0000 0.5000 0.0000  10 Se 3.89-3.96
2 U 0.5000 0.0000 0.0000  6 Se 2.71-2.74
3 Sn 0.2131 0.2131 0.4262  3 Se 2.92-3.05
4 Sn 0.7869 0.7869 0.5738  3 Se 2.92-3.05
5 Se 0.6421 0.9061 0.2841  1 U 2.74, 1 Sn 2.92
6 Se 0.3579 0.0939 0.7159  1 U 2.74, 1 Sn 2.92
7 Se 0.3579 0.6220 0.7159  1 U 2.74, 1 Sn 2.92
8 Se 0.6421 0.3780 0.2841  1 U 2.74, 1 Sn 2.92
9 Se 0.0000 0.0000 0.0000  2 U 2.71

- Energy relative to the elements, uncorrected: -743 meV per atom
- DOS at the Fermi energy: 0.393 states/eV/atom


Here is an optimized crystal structure of Cs2USnSe4 from Alexandria via LeMat-Bulk. Energies are from PBE-GGA.

Lattice parameters (Å, degrees): 7.7197 7.7197 7.7197 98.61 115.16 115.16
With the nearest neighbours (Å) after each atom.
Fractional coordinates of all 8 atoms:
1 Cs 0.5000 0.7500 0.2500  4 Se 3.73
2 Cs 0.0000 0.0000 0.0000  4 Se 3.61
3 U 0.5000 0.2500 0.7500  4 Se 2.72
4 Sn 0.0000 0.5000 0.5000  4 Se 2.86
5 Se 0.5715 0.3623 0.4579  1 U 2.72, 1 Sn 2.86
6 Se 0.0955 0.2091 0.6377  1 U 2.72, 1 Sn 2.86
7 Se 0.9045 0.5421 0.1136  1 U 2.72, 1 Sn 2.86
8 Se 0.4285 0.8864 0.7909  1 U 2.72, 1 Sn 2.86

- Energy relative to the elements, uncorrected: -874 meV per atom
- DOS at the Fermi energy: 0.848 states/eV/atom


Here is an optimized crystal structure of Cs2USnSe6 from Alexandria via LeMat-Bulk. Energies are from PBE-GGA.

Lattice parameters (Å, degrees): 7.7651 7.7652 7.7648 60.00 60.00 90.01
With the nearest neighbours (Å) after each atom.
Fractional coordinates of all 10 atoms:
1 Cs 0.2500 0.7500 0.5000  12 Se 3.88
2 Cs 0.7500 0.2500 0.5000  12 Se 3.88
3 U 0.0000 0.0000 0.0000  6 Se 2.68
4 Sn 0.5000 0.5000 0.0000  6 Se 2.81
5 Se 0.2441 0.7559 0.0000  1 U 2.68, 1 Sn 2.81
6 Se 0.7559 0.7559 0.0000  1 U 2.68, 1 Sn 2.81
7 Se 0.2441 0.2441 0.5118  1 U 2.68, 1 Sn 2.81
8 Se 0.7559 0.2441 0.0000  1 U 2.68, 1 Sn 2.81
9 Se 0.2441 0.2441 0.0000  1 U 2.68, 1 Sn 2.81
10 Se 0.7559 0.7559 0.4882  1 U 2.68, 1 Sn 2.81

- Energy relative to the elements, uncorrected: -822 meV per atom
- DOS at the Fermi energy: 1.143 states/eV/atom


Here is an optimized crystal structure of Cs2Zn2SnSe4 from Alexandria via LeMat-Bulk. Energies are from PBE-GGA.

Lattice parameters (Å, degrees): 4.2924 8.4666 8.4894 108.62 104.64 90.00
With the nearest neighbours (Å) after each atom.
Fractional coordinates of all 9 atoms:
1 Cs 0.1302 0.5406 0.2604  7 Se 3.65-3.86
2 Cs 0.8698 0.4594 0.7396  7 Se 3.65-3.86
3 Zn 0.6709 0.9716 0.3419  4 Se 2.43-2.60
4 Zn 0.3291 0.0284 0.6581  4 Se 2.43-2.60
5 Sn 0.0000 0.0000 0.0000  6 Se 3.04-3.16
6 Se 0.2035 0.1512 0.4069  3 Zn 2.58-2.60
7 Se 0.7965 0.8488 0.5931  3 Zn 2.58-2.60
8 Se 0.5268 0.7676 0.0537  1 Zn 2.43
9 Se 0.4732 0.2324 0.9463  1 Zn 2.43

- Energy relative to the elements, uncorrected: -831 meV per atom